Record 1
## Ce2CrCuS5 (PBE)

Data for a relaxed Ce2CrCuS5 crystal.

abc: 3.835 16.309 11.155
angles: 90.00 90.00 90.00
Space group Cmc2_1 (No. 36)
One atom of each set of equivalent atoms:
Ce1 0.000 0.113 0.000 [4 per cell]
Ce2 0.000 0.129 0.609 [4 per cell]
Cr1 0.000 0.201 0.318 [4 per cell]
Cu1 0.000 0.436 0.755 [4 per cell]
S1 0.000 0.056 0.362 [4 per cell]
S2 0.000 0.286 0.962 [4 per cell]
S3 0.000 0.303 0.666 [4 per cell]
S4 0.000 0.352 0.308 [4 per cell]
S5 0.000 0.497 0.080 [4 per cell]

Values from the calculation:
Total magnetic moment, μB/cell: 19.41
E, eV/atom: -6.469
N(E_F), states/eV/f.u.: 11.0
V, Å³/f.u.: 174.4
Energy relative to the elements, uncorrected, eV/atom: -1.33

---

Record 2
## CsKNaH3 (PBE)

Data for a relaxed CsKNaH3 crystal.

abc: 6.836 4.104 9.679
angles: 90.00 101.54 90.00
Space group P2_1/m (No. 11)
One atom of each set of equivalent atoms:
Cs1 0.157 0.250 0.182 [2 per cell]
K1 0.263 0.750 0.557 [2 per cell]
Na1 0.376 0.250 0.857 [2 per cell]
H1 0.068 0.250 0.672 [2 per cell]
H2 0.309 0.750 0.955 [2 per cell]
H3 0.462 0.750 0.330 [2 per cell]

Values from the calculation:
Total magnetic moment, μB/cell: 0.00
E, eV/atom: -2.396
N(E_F), states/eV/f.u.: 0.0
V, Å³/f.u.: 133.0